# PBE MgInAgCl4, relaxed
data_MgInAgCl4
_cell_length_a 6.638
_cell_length_b 7.311
_cell_length_c 8.524
_cell_angle_alpha 90.00
_cell_angle_beta 103.74
_cell_angle_gamma 90.00
_symmetry_space_group_name_H-M 'P 1 21/m 1'
_symmetry_Int_Tables_number 11
_symmetry_space_group_name_Hall '-P 2yb'
loop_
_atom_site_label
_atom_site_fract_x
_atom_site_fract_y
_atom_site_fract_z
_atom_site_occupancy
Mg1 0.247 0.250 0.321 1
In1 0.242 0.750 0.035 1
Ag1 0.164 0.750 0.522 1
Cl1 0.008 0.512 0.715 1
Cl2 0.375 0.250 0.088 1
Cl3 0.491 0.250 0.568 1
# * V: 401.86 Å³/cell
# * total magnetic moment: 0.0 μB per cell
# * mass density: 3.21 g cm⁻³
# * final energy: -44.6 eV per cell
# * formation energy without anion corrections: -7.73 eV per formula unit

# PBE CoC3S, relaxed
data_CoC3S
_cell_length_a 3.757
_cell_length_b 3.757
_cell_length_c 3.757
_cell_angle_alpha 90.00
_cell_angle_beta 90.00
_cell_angle_gamma 90.00
_symmetry_space_group_name_H-M 'P m -3 m'
_symmetry_Int_Tables_number 221
_symmetry_space_group_name_Hall '-P 4 2 3'
loop_
_atom_site_label
_atom_site_fract_x
_atom_site_fract_y
_atom_site_fract_z
_atom_site_occupancy
Co1 0.000 0.000 0.000 1
C1 0.000 0.000 0.500 1
S1 0.500 0.500 0.500 1
# * V: 53.04 Å³/cell
# * total magnetic moment: 0.0 μB per cell
# * mass density: 3.98 g cm⁻³
# * energy above the most stable polymorph in this dataset: 0.000 eV/atom
# * final energy: -27.6 eV per cell
# * formation energy without anion corrections: 11.34 eV per formula unit

# PBE DyHo6Sc3, relaxed
data_DyHo6Sc3
_cell_length_a 9.347
_cell_length_b 20.275
_cell_length_c 6.201
_cell_angle_alpha 90.00
_cell_angle_beta 90.00
_cell_angle_gamma 90.00
_symmetry_space_group_name_H-M 'C m c 21'
_symmetry_Int_Tables_number 36
_symmetry_space_group_name_Hall 'C 2c -2'
loop_
_atom_site_label
_atom_site_fract_x
_atom_site_fract_y
_atom_site_fract_z
_atom_site_occupancy
Dy1 0.000 0.158 0.000 1
Ho1 0.000 0.015 0.221 1
Ho2 0.000 0.303 0.223 1
Ho3 0.177 0.282 0.688 1
Ho4 0.180 0.443 0.432 1
Sc1 0.000 0.417 0.911 1
Sc2 0.168 0.126 0.528 1
# * V: 1175.07 Å³/cell
# * total magnetic moment: 0.0 μB per cell
# * DFT formation energy: 127 meV per atom
# * mass density: 7.27 g cm⁻³
# * energy above the most stable polymorph in this dataset: 0.000 eV/atom
# * final energy: -199.2 eV per cell

# PBE SrLa2Sn2, relaxed
data_SrLa2Sn2
_cell_length_a 4.954
_cell_length_b 4.954
_cell_length_c 14.474
_cell_angle_alpha 90.00
_cell_angle_beta 90.00
_cell_angle_gamma 90.00
_symmetry_space_group_name_H-M 'I 4/m m m'
_symmetry_Int_Tables_number 139
_symmetry_space_group_name_Hall '-I 4 2'
loop_
_atom_site_label
_atom_site_fract_x
_atom_site_fract_y
_atom_site_fract_z
_atom_site_occupancy
Sr1 0.000 0.000 0.000 1
La1 0.000 0.500 0.250 1
Sn1 0.000 0.000 0.400 1
# * V: 355.16 Å³/cell
# * total magnetic moment: 0.0 μB per cell
# * DFT formation energy: -489 meV per atom
# * mass density: 5.64 g cm⁻³
# * energy above the most stable polymorph in this dataset: 0.173 eV/atom
# * final energy: -44.0 eV per cell

# PBE TlBiSCl2, relaxed
data_TlBiSCl2
_cell_length_a 5.515
_cell_length_b 5.515
_cell_length_c 5.365
_cell_angle_alpha 90.00
_cell_angle_beta 90.00
_cell_angle_gamma 90.00
_symmetry_space_group_name_H-M 'P 4/m m m'
_symmetry_Int_Tables_number 123
_symmetry_space_group_name_Hall '-P 4 2'
loop_
_atom_site_label
_atom_site_fract_x
_atom_site_fract_y
_atom_site_fract_z
_atom_site_occupancy
Tl1 0.000 0.000 0.000 1
Bi1 0.500 0.500 0.500 1
S1 0.500 0.500 0.000 1
Cl1 0.000 0.500 0.500 1
# * V: 163.15 Å³/cell
# * total magnetic moment: 0.0 μB per cell
# * mass density: 5.26 g cm⁻³
# * energy above the most stable polymorph in this dataset: 0.139 eV/atom
# * final energy: -17.1 eV per cell
# * formation energy without anion corrections: -3.06 eV per formula unit